[1]
# KBaW

A relaxed KBaW crystal (PBE, the Alexandria database).

The calculation puts the energy of formation from the pure elements at 1.57 eV/atom. The calculation puts the relative energy among the computed polymorphs at 0.079 eV per atom. The value obtained for the total energy is -3.753 eV per atom.

Cell lengths 3.3058, 3.3058, 9.7955 Å; angles 90.00, 90.00, 120.00 degrees
Sites, in units of the cell vectors:
1 Ba 0.0000 0.0000 0.9493
2 K 0.6667 0.3333 0.3758
3 W 0.3333 0.6667 0.6749



[2]
# K2BaW

A relaxed K2BaW crystal (PBE, the Alexandria database).

The calculation puts the energy of formation from the pure elements at 1.50 eV/atom. The calculation puts the relative energy among the computed polymorphs at 0.256 eV per atom. The value obtained for the total energy is -2.766 eV per atom.

Cell lengths 3.7506, 6.3204, 7.2011 Å; angles 90.00, 90.00, 90.00 degrees
Sites, in units of the cell vectors:
1 Ba 0.5000 0.5000 0.7500
2 K 0.0000 0.0000 0.0291
3 K 0.0000 0.0000 0.4709
4 W 0.5000 0.5000 0.2500



[3]
# K4BaW

A relaxed K4BaW crystal (PBE, the Alexandria database).

The calculation puts the energy of formation from the pure elements at 1.17 eV/atom. The value obtained for the total energy is -2.037 eV per atom.

Cell lengths 7.5635, 7.5635, 7.5635 Å; angles 60.00, 60.00, 60.00 degrees
Sites, in units of the cell vectors:
1 K 0.8683 0.3772 0.3772
2 K 0.3772 0.3772 0.8683
3 K 0.3772 0.8683 0.3772
4 K 0.3772 0.3772 0.3772
5 Ba 0.0000 0.0000 0.0000
6 W 0.7500 0.7500 0.7500



[4]
# KBa3W

A relaxed KBa3W crystal (PBE, the Alexandria database).

The calculation puts the energy of formation from the pure elements at 0.82 eV/atom. The calculation puts the relative energy among the computed polymorphs at 0.000 eV per atom. The value obtained for the total energy is -3.141 eV per atom.

Cell lengths 6.3067, 6.3067, 6.3067 Å; angles 90.00, 90.00, 90.00 degrees
Sites, in units of the cell vectors:
1 K 0.5000 0.5000 0.5000
2 Ba 0.0000 0.5000 0.0000
3 Ba 0.0000 0.0000 0.5000
4 Ba 0.5000 0.0000 0.0000
5 W 0.0000 0.0000 0.0000



[5]
# K2BaW

A relaxed K2BaW crystal (PBE, the Alexandria database).

The calculation puts the energy of formation from the pure elements at 1.38 eV/atom. The calculation puts the relative energy among the computed polymorphs at 0.130 eV per atom. The value obtained for the total energy is -2.891 eV per atom.

Cell lengths 5.1929, 5.1835, 8.3432 Å; angles 51.67, 90.00, 90.00 degrees
Sites, in units of the cell vectors:
1 Ba 0.0000 0.0000 0.5000
2 K 0.0000 0.0000 0.0000
3 K 0.5000 0.5000 0.0000
4 W 0.5000 0.5000 0.5000



[6]
# K3BaW

A relaxed K3BaW crystal (PBE, the Alexandria database).

The calculation puts the energy of formation from the pure elements at 1.98 eV/atom. The calculation puts the relative energy among the computed polymorphs at 0.604 eV per atom. The value obtained for the total energy is -1.658 eV per atom.

Cell lengths 7.8081, 7.8081, 7.8081 Å; angles 90.00, 90.00, 90.00 degrees
Sites, in units of the cell vectors:
1 K 0.0000 0.5000 0.0000
2 K 0.0000 0.0000 0.5000
3 K 0.5000 0.0000 0.0000
4 Ba 0.0000 0.0000 0.0000
5 W 0.5000 0.5000 0.5000